DFT (meta-GGA SCAN) results for CdBiSe2Br at its PBEsol-relaxed geometry.

Cell: 4.1071 9.8593 13.0908 Å, 90.00 90.00 90.00°
With the nearest neighbours (Å) after each atom.
Fractional positions:
Cd  0.2500  0.9936  0.7621  4 Se 2.69-2.90, 2 Br 2.79
Se  0.2500  0.4444  0.1131  3 Bi 2.74-3.05, 2 Cd 2.90
Br  0.2500  0.5755  0.3973  2 Cd 2.79
Br  0.7500  0.9245  0.8973  2 Cd 2.79
Se  0.7500  0.2499  0.3316  2 Cd 2.69-2.70, 2 Bi 2.85
Cd  0.7500  0.5064  0.2621  4 Se 2.69-2.90, 2 Br 2.79
Se  0.7500  0.5556  0.8869  3 Bi 2.74-3.05, 2 Cd 2.90
Se  0.2500  0.7501  0.6684  2 Cd 2.69-2.70, 2 Bi 2.85
Br  0.7500  0.4245  0.6027  2 Cd 2.79
Br  0.2500  0.0755  0.1027  2 Cd 2.79
Cd  0.7500  0.0064  0.2379  4 Se 2.69-2.90, 2 Br 2.79
Bi  0.2500  0.1959  0.4766  5 Se 2.74-3.05
Se  0.7500  0.0556  0.6131  3 Bi 2.74-3.05, 2 Cd 2.90
Se  0.2500  0.9444  0.3869  3 Bi 2.74-3.05, 2 Cd 2.90
Bi  0.7500  0.8041  0.5234  5 Se 2.74-3.05
Se  0.7500  0.7499  0.1684  2 Cd 2.69-2.70, 2 Bi 2.85
Se  0.2500  0.2501  0.8316  2 Cd 2.69-2.70, 2 Bi 2.85
Bi  0.2500  0.6959  0.0234  5 Se 2.74-3.05
Bi  0.7500  0.3041  0.9766  5 Se 2.74-3.05
Cd  0.2500  0.4936  0.7379  4 Se 2.69-2.90, 2 Br 2.79

ΔE_f (raw), eV per atom: -0.58
DOS(E_F), states/eV/cell: 0.00
V, Å³/atom: 26.50
Total energy, eV/atom: -34.30
Total moment, μB/cell: 0.0